A plane-wave DFT calculation with PBE+U was carried out for a relaxed structure of TbV2PbO8.

a b c (Å): 5.8782 5.8782 6.7066
angles (deg): 90.00 90.00 120.00
With the nearest neighbours (Å) after each atom.
Sites, in units of the cell vectors:
1 Tb 0.0000 0.0000 0.0000  6 O 2.29
2 V 0.3333 0.6667 0.3094  4 O 1.64-1.79
3 V 0.6667 0.3333 0.6906  4 O 1.64-1.79
4 Pb 0.0000 0.0000 0.5000  6 O 2.48
5 O 0.1657 0.3314 0.2299  1 V 1.79
6 O 0.1657 0.8343 0.2299  1 V 1.79
7 O 0.3314 0.1657 0.7701  1 V 1.79
8 O 0.3333 0.6667 0.5543  1 V 1.64
9 O 0.6667 0.3333 0.4457  1 V 1.64
10 O 0.6686 0.8343 0.2299  1 V 1.79
11 O 0.8343 0.1657 0.7701  1 V 1.79
12 O 0.8343 0.6686 0.7701  1 V 1.79

Values from the calculation:
Density of states at the Fermi level in states/eV/atom: 0.32
Magnetization in μB/atom: 0.000
Energy in eV for the cell shown: -86.9


A plane-wave DFT calculation with PBE+U was carried out for a relaxed structure of Tb2VPbO6.

a b c (Å): 5.4077 5.4077 5.6041
angles (deg): 90.00 90.00 90.00
With the nearest neighbours (Å) after each atom.
Sites, in units of the cell vectors:
1 Tb 0.0000 0.5000 0.0000  4 O 2.25
2 Tb 0.5000 0.0000 0.0000  4 O 2.25
3 V 0.0000 0.0000 0.6469  5 O 1.77-1.94
4 Pb 0.5000 0.5000 0.5600  5 O 2.31-2.44
5 O 0.0000 0.0000 0.3317  1 V 1.77
6 O 0.2303 0.2303 0.7917  1 V 1.94
7 O 0.2303 0.7697 0.7917  1 V 1.94
8 O 0.5000 0.5000 0.1471  1 Pb 2.31
9 O 0.7697 0.2303 0.7917  1 V 1.94
10 O 0.7697 0.7697 0.7917  1 V 1.94

Values from the calculation:
Density of states at the Fermi level in states/eV/atom: 0.00
Magnetization in μB/atom: 0.100
Energy in eV for the cell shown: -73.7